# Ca3DyTl2F12

A geometry-optimized Ca3DyTl2F12 structure (GGA-PBE, Alexandria via LeMat-Bulk).

Values from the calculation:
**E_form (uncorrected)**: -3190.1 meV/atom
**Total energy**: -5.290 eV/atom
**M_tot**: 0.0749 μB per atom

Cell: 7.8568 7.8568 20.9069 Å, 90.00 90.00 120.00°
With the nearest neighbours (Å) after each atom.
Space group R-3m (No. 166, hexagonal axes)
Unique sites:
Ca: 0.0000 0.5000 0.0000 x9  6 F 2.20-2.32
Dy: 0.0000 0.0000 0.5000 x3  6 F 2.18
Tl: 0.0000 0.0000 0.0776 x6  3 F 2.56
F: 0.0173 0.5086 0.3661 x18  2 Ca 2.32, 1 Tl 2.56
F: 0.0829 0.5414 0.1019 x18  1 Dy 2.18, 1 Ca 2.20

=====

# CaDyFe4

A geometry-optimized CaDyFe4 structure (GGA-PBE, Alexandria via LeMat-Bulk).

Values from the calculation:
**Total energy**: -6.627 eV/atom
**Energy of formation**: 0.115 eV per atom
**M_tot**: 1.1659 μB per atom

Cell: 7.2629 7.2629 7.2629 Å, 90.00 90.00 90.00°
With the nearest neighbours (Å) after each atom.
Space group F-43m (No. 216)
Unique sites:
Ca: 0.0000 0.0000 0.0000 x4  12 Fe 3.01, 4 Dy 3.14
Dy: 0.2500 0.2500 0.2500 x4  12 Fe 3.01, 4 Ca 3.14
Fe: 0.1247 0.1247 0.6247 x16  6 Fe 2.56-2.57

=====

# CaDy2Fe

A geometry-optimized CaDy2Fe structure (GGA-PBE, Alexandria via LeMat-Bulk).

Values from the calculation:
**Total energy**: -4.837 eV/atom
**Energy of formation**: 0.080 eV per atom
**M_tot**: 0.0025 μB per atom

Cell: 3.3701 3.3701 9.5464 Å, 90.00 90.00 90.00°
With the nearest neighbours (Å) after each atom.
Space group P4/mmm (No. 123)
Unique sites:
Ca: 0.0000 0.0000 0.0000 x1  4 Ca 3.37
Dy: 0.5000 0.5000 0.3323 x2  4 Fe 2.87, 1 Dy 3.20
Fe: 0.0000 0.0000 0.5000 x1  8 Dy 2.87

=====

# CaDy2Fe

A geometry-optimized CaDy2Fe structure (GGA-PBE, Alexandria via LeMat-Bulk).

Values from the calculation:
**Total energy**: -4.632 eV/atom
**Energy of formation**: 0.285 eV per atom
**M_tot**: 0.1408 μB per atom

Cell: 3.6638 3.6638 31.3493 Å, 90.00 90.00 120.00°
With the nearest neighbours (Å) after each atom.
Space group R-3m (No. 166, hexagonal axes)
Unique sites:
Ca: 0.0000 0.0000 0.0000 x3  2 Dy 3.58, 6 Ca 3.66
Dy: 0.0000 0.0000 0.1140 x6  3 Fe 2.68
Fe: 0.0000 0.0000 0.5000 x3  6 Dy 2.68

=====

Q: Among the records above, which one has the lowest total energy?
A: CaDyFe4

=====

Q: What is the total energy in the first record?
A: -5.290 eV/atom

=====

Q: Which of these has the highest total energy?
A: number 4

=====

Q: M_tot of number 2 (CaDyFe4)?
A: 1.1659 μB per atom